Entry 1:
This record from Alexandria via LeMat-Bulk describes an optimized crystal structure of Ba2BePb. The functional is PBE-GGA.

```
Ba2BePb
1.0
-4.9662 -8.7186 -2.1263
-3.3124 -7.6369 -5.9920
-0.8592 -9.7412 -3.0934
Ba Be Pb
2 1 1
Direct
0.5081 0.5081 0.5081
0.9919 0.9919 0.9919
0.2500 0.2500 0.2500
0.7500 0.7500 0.7500
```

Results
Uncorrected energy ... -10.097 eV per formula unit
Energy above the lowest structure with this stoichiometry ... 37.0 kJ per mole of atoms
Fermi-level density of states ... 5.5 states/eV/f.u.
DFT formation energy ... 296 meV/atom

=====

Entry 2:
This record from Alexandria via LeMat-Bulk describes an optimized crystal structure of La2PrSm4Er. The functional is PBE-GGA.

```
La2PrSm4Er
1.0
5.1770 0.0000 0.0000
0.0000 5.0713 0.9654
0.0001 3.1440 11.1382
La Sm Er Pr
2 4 1 1
Direct
0.0000 0.0000 0.0000
0.5000 0.0000 0.5000
0.0000 0.7535 0.7471
0.0000 0.2465 0.2529
0.5000 0.2526 0.7475
0.5000 0.7475 0.2525
0.0000 0.5000 0.5000
0.5000 0.5000 0.0000
```

Results
Uncorrected energy ... -37.885 eV per formula unit
Fermi-level density of states ... 13.1 states/eV/f.u.
DFT formation energy ... 24 meV/atom

=====

Entry 3:
This record from Alexandria via LeMat-Bulk describes an optimized crystal structure of Cu2OsAu. The functional is PBE-GGA.

```
Cu2OsAu
1.0
-1.5313 -0.1735 2.2092
2.1171 -3.8928 1.1617
3.1179 2.3968 2.3494
Au Cu Os
1 2 1
Direct
0.5000 0.0000 0.5000
0.0000 0.5000 0.5000
0.0000 0.0000 0.0000
0.5000 0.5000 0.0000
```

Results
Uncorrected energy ... -21.094 eV per formula unit
Energy above the lowest structure with this stoichiometry ... 16.7 kJ per mole of atoms
Fermi-level density of states ... 4.0 states/eV/f.u.
DFT formation energy ... 401 meV/atom

=====

Entry 4:
This record from Alexandria via LeMat-Bulk describes an optimized crystal structure of PaTcW2. The functional is PBE-GGA.

```
PaTcW2
1.0
2.8950 0.0000 0.0000
1.4475 2.5071 0.0000
1.4475 0.8357 9.8230
W Pa Tc
2 1 1
Direct
0.7402 0.7402 0.7793
0.2598 0.2598 0.2207
0.5000 0.5000 0.5000
0.0000 0.0000 0.0000
```

Results
Uncorrected energy ... -44.307 eV per formula unit
Energy above the lowest structure with this stoichiometry ... 14.4 kJ per mole of atoms
Fermi-level density of states ... 3.5 states/eV/f.u.
DFT formation energy ... 365 meV/atom

=====

Entry 5:
This record from Alexandria via LeMat-Bulk describes an optimized crystal structure of Y2HgPb. The functional is PBE-GGA.

```
Y2HgPb
1.0
-3.2590 -5.6406 5.0147
7.3963 -3.4745 0.8986
2.7177 -2.4552 5.7432
Y Pb Hg
4 2 2
Direct
0.1357 0.6250 0.2500
0.3750 0.3857 0.7500
0.6143 0.1250 0.2500
0.8750 0.8643 0.7500
0.7500 0.2500 0.5000
0.0000 0.0000 0.0000
0.2500 0.7500 0.5000
0.5000 0.5000 0.0000
```

Results
Uncorrected energy ... -17.926 eV per formula unit
Fermi-level density of states ... 2.1 states/eV/f.u.
DFT formation energy ... -247 meV/atom

=====

Entry 6:
This record from Alexandria via LeMat-Bulk describes an optimized crystal structure of Sm5YMg6. The functional is PBE-GGA.

```
Sm5YMg6
1.0
5.1532 -0.0312 1.7183
0.0406 7.6723 0.0135
0.0004 -0.0156 8.5937
Sm Mg Y
5 6 1
Direct
0.3324 0.5000 0.3356
0.0000 0.5000 0.0000
0.6656 0.0000 0.6683
0.3344 0.0000 0.3317
0.6676 0.5000 0.6644
0.5000 0.7510 0.0000
0.5000 0.2490 0.0000
0.1651 0.7525 0.6689
0.8350 0.7525 0.3311
0.8349 0.2475 0.3311
0.1650 0.2475 0.6689
0.0000 0.0000 0.0000
```

Results
Uncorrected energy ... -40.865 eV per formula unit
Fermi-level density of states ... 14.4 states/eV/f.u.
DFT formation energy ... -103 meV/atom

=====

Entry 7:
This record from Alexandria via LeMat-Bulk describes an optimized crystal structure of Ta2AgRh. The functional is PBE-GGA.

```
Ta2AgRh
1.0
-5.8515 -7.7544 0.6420
-4.6756 -7.8983 3.2466
-6.9487 -6.2204 2.7939
Ta Rh Ag
2 1 1
Direct
0.2546 0.2546 0.2546
0.7454 0.7454 0.7454
0.0000 0.0000 0.0000
0.5000 0.5000 0.5000
```

Results
Uncorrected energy ... -33.666 eV per formula unit
Fermi-level density of states ... 3.4 states/eV/f.u.
DFT formation energy ... 60 meV/atom

=====

Entry 8:
This record from Alexandria via LeMat-Bulk describes an optimized crystal structure of Rb2SClF6. The functional is PBE-GGA.

```
Rb2SClF6
1.0
-4.5897 3.2726 0.8924
-5.2287 -2.2595 -0.3563
-2.8018 -3.1524 15.3998
F Rb S Cl
12 4 2 2
Direct
0.7550 0.1522 0.9407
0.8478 0.8478 0.0593
0.1522 0.1522 0.9407
0.2450 0.8478 0.0593
0.8361 0.3659 0.4321
0.6341 0.1639 0.5679
0.6341 0.6341 0.5679
0.3659 0.8361 0.4321
0.1522 0.7550 0.9407
0.1639 0.6341 0.5679
0.3659 0.3659 0.4321
0.8478 0.2450 0.0593
0.7468 0.7468 0.7596
0.8644 0.8644 0.4069
0.2532 0.2532 0.2404
0.1356 0.1356 0.5931
0.5000 0.5000 0.5000
0.0000 0.0000 0.0000
0.4098 0.4098 0.7706
0.5902 0.5902 0.2294
```

Results
Uncorrected energy ... -37.943 eV per formula unit
Energy above the lowest structure with this stoichiometry ... 0.0 kJ per mole of atoms
Fermi-level density of states ... 0.0 states/eV/f.u.
Raw formation energy ... -43.367 kcal/mol of atoms

=====

Entry 9:
This record from Alexandria via LeMat-Bulk describes an optimized crystal structure of CsNa6Cd6. The functional is PBE-GGA.

```
CsNa6Cd6
1.0
6.2120 0.0000 0.0000
3.1060 7.9225 -0.2493
3.1060 -0.0596 7.9262
Cs Na Cd
1 6 6
Direct
0.0000 0.0000 0.0000
0.3512 0.6488 0.6488
0.0000 0.3420 0.6580
0.6994 0.8006 0.8006
0.0000 0.6580 0.3420
0.3006 0.1994 0.1994
0.6488 0.3512 0.3512
0.5000 0.2337 0.7663
0.5000 0.0000 0.5000
0.0000 0.0000 0.5000
0.5000 0.5000 0.0000
0.5000 0.7663 0.2337
0.0000 0.5000 0.0000
```

Results
Uncorrected energy ... -15.303 eV per formula unit
Fermi-level density of states ... 5.6 states/eV/f.u.
DFT formation energy ... -80 meV/atom

=====

Entry 10:
This record from Alexandria via LeMat-Bulk describes an optimized crystal structure of Ti3Mn2Ag. The functional is PBE-GGA.

```
Ti3Mn2Ag
1.0
-1.1470 -2.6143 -0.8655
2.6863 -1.2686 0.2720
-2.0161 -2.2431 9.4474
Ti Mn Ag
3 2 1
Direct
0.0000 0.0000 0.0000
0.0000 0.0000 0.2920
0.0000 0.0000 0.7080
0.5000 0.5000 0.1553
0.5000 0.5000 0.8447
0.5000 0.5000 0.5000
```

Results
Uncorrected energy ... -46.055 eV per formula unit
Fermi-level density of states ... 3.6 states/eV/f.u.
DFT formation energy ... -197 meV/atom

=====

Entry 11:
This record from Alexandria via LeMat-Bulk describes an optimized crystal structure of Mg4FeIr. The functional is PBE-GGA.

```
Mg4FeIr
1.0
0.8524 2.3682 4.6692
2.4568 4.6975 0.1819
-2.7189 4.3666 1.2946
Ir Mg Fe
1 4 1
Direct
0.0000 0.0000 0.0000
0.3749 0.3749 0.8753
0.3749 0.3749 0.3749
0.8753 0.3749 0.3749
0.3749 0.8753 0.3749
0.7500 0.7500 0.7500
```

Results
Uncorrected energy ... -20.958 eV per formula unit
Fermi-level density of states ... 5.1 states/eV/f.u.
DFT formation energy ... 457 meV/atom

=====

Entry 12:
This record from Alexandria via LeMat-Bulk describes an optimized crystal structure of BaHf2Se. The functional is PBE-GGA.

```
BaHf2Se
1.0
4.8746 0.0000 0.0000
0.0000 4.8746 0.0000
2.4373 2.4373 10.0251
Hf Ba Se
4 2 2
Direct
0.2676 0.6250 0.2500
0.8750 0.7324 0.7500
0.4824 0.1250 0.2500
0.3750 0.5176 0.7500
0.0000 0.0000 0.0000
0.7500 0.2500 0.5000
0.2500 0.7500 0.5000
0.5000 0.5000 0.0000
```

Results
Uncorrected energy ... -24.661 eV per formula unit
Fermi-level density of states ... 4.1 states/eV/f.u.
Raw formation energy ... 3.763 kcal/mol of atoms

=====

Repeat the tenth record exactly.
This record from Alexandria via LeMat-Bulk describes an optimized crystal structure of Ti3Mn2Ag. The functional is PBE-GGA.

```
Ti3Mn2Ag
1.0
-1.1470 -2.6143 -0.8655
2.6863 -1.2686 0.2720
-2.0161 -2.2431 9.4474
Ti Mn Ag
3 2 1
Direct
0.0000 0.0000 0.0000
0.0000 0.0000 0.2920
0.0000 0.0000 0.7080
0.5000 0.5000 0.1553
0.5000 0.5000 0.8447
0.5000 0.5000 0.5000
```

Results
Uncorrected energy ... -46.055 eV per formula unit
Fermi-level density of states ... 3.6 states/eV/f.u.
DFT formation energy ... -197 meV/atom